{"formula": "Bi3PbF", "functional": "GGA-PBE", "state": "optimized geometry", "cell": [[5.1952, 0.0000, 0.0000], [0.0000, 5.1952, 0.0000], [0.0000, 0.0000, 5.1952]], "species": ["Bi", "Bi", "Bi", "Pb", "F"], "fractional_positions": [[0.0000, 0.0000, 0.5000], [0.0000, 0.5000, 0.0000], [0.5000, 0.0000, 0.0000], [0.5000, 0.5000, 0.5000], [0.0000, 0.0000, 0.0000]], "relative_energy_ev_per_atom": 0.000, "e_form_raw_ev_per_atom": -0.339, "m_tot_mub_per_atom": 0.00, "energy_ev_per_atom": -3.784}